--- i ---
Below is a relaxed structure of LiLaTi3, with properties calculated at the GGA-PBE level.

extended XYZ file:
```
5
Lattice="4.867 0.000 0.000 0.000 4.867 0.000 0.000 0.000 4.867" Properties=species:S:1:pos:R:3 pbc="T T T"
Ti 2.434 0.000 0.000
Ti 0.000 0.000 2.434
Ti 0.000 2.434 0.000
La 0.000 0.000 0.000
Li 2.434 2.434 2.434
```

* symmetry: Pm-3m (221)
* total magnetic moment: 0.0 μB per formula unit
* calculated volume: 23.1 Å³ per atom

***

--- ii ---
Below is a relaxed structure of LiLaTi3, with properties calculated at the GGA-PBE level.

extended XYZ file:
```
5
Lattice="4.700 0.000 0.000 0.000 4.700 0.000 0.000 0.000 4.700" Properties=species:S:1:pos:R:3 pbc="T T T"
Li 0.000 0.000 0.000
La 2.350 2.350 2.350
Ti 2.350 0.000 0.000
Ti 0.000 2.350 0.000
Ti 0.000 0.000 2.350
```

* symmetry: Pm-3m (221)
* total magnetic moment: 0.0 μB per formula unit
* calculated volume: 20.8 Å³ per atom

***

Relative to the most stable one, in eV/atom, the structures come out at i 0.509; ii 0.000.

***

--- i ---
Below is a relaxed structure of LiLa2Ti, with properties calculated at the GGA-PBE level.

extended XYZ file:
```
8
Lattice="-2.679 1.764 -7.692 -5.891 -5.852 0.710 -6.312 0.143 -2.284" Properties=species:S:1:pos:R:3 pbc="T T T"
La -3.984 0.404 -5.277
La -7.958 -1.436 -4.330
La -5.599 -3.399 -1.102
La -12.223 -3.460 -7.824
Ti 0.000 0.000 0.000
Ti -6.638 -0.069 -6.733
Li -8.244 -3.877 -2.533
Li -4.285 -2.044 -3.491
```

* symmetry: I-42d (122)
* total magnetic moment: 2.6 μB per formula unit
* calculated volume: 27.9 Å³ per atom

***

--- ii ---
Below is a relaxed structure of LiLa2Ti, with properties calculated at the GGA-PBE level.

extended XYZ file:
```
4
Lattice="-1.103 2.943 0.759 -1.656 0.449 2.740 9.216 3.447 6.914" Properties=species:S:1:pos:R:3 pbc="T T T"
Li 3.229 3.419 5.206
La 6.781 2.890 5.533
La -0.324 3.948 4.879
Ti 0.000 0.000 0.000
```

* symmetry: R-3m (166)
* total magnetic moment: 0.6 μB per formula unit
* calculated volume: 26.9 Å³ per atom

***

--- iii ---
Below is a relaxed structure of LiLa2Ti, with properties calculated at the GGA-PBE level.

extended XYZ file:
```
4
Lattice="4.501 -1.217 2.652 0.946 2.169 4.814 -0.225 -3.050 4.407" Properties=species:S:1:pos:R:3 pbc="T T T"
La 3.917 -1.573 8.905
La 1.306 -0.524 2.968
Li 0.000 0.000 0.000
Ti 2.612 -1.049 5.937
```

* symmetry: Fm-3m (225)
* total magnetic moment: 1.5 μB per formula unit
* calculated volume: 27.3 Å³ per atom

***

Relative to the most stable one, in eV/atom, the structures come out at i 0.255; ii 0.176; iii 0.000.